Entry 1:
Material: Mg3Re2H9
Method: DFT, PBE-GGA
State: relaxed

POSCAR file:
```
Mg3Re2H9
1.0
6.392 0.424 1.033
0.945 6.336 1.033
0.460 0.424 6.458
Mg Re H
6 4 18
direct
0.405 0.750 0.095
0.250 0.905 0.595
0.905 0.595 0.250
0.095 0.405 0.750
0.750 0.095 0.405
0.595 0.250 0.905
0.160 0.160 0.160
0.660 0.660 0.660
0.840 0.840 0.840
0.340 0.340 0.340
0.724 0.925 0.082
0.075 0.918 0.276
0.250 0.428 0.072
0.575 0.776 0.418
0.572 0.928 0.750
0.928 0.750 0.572
0.224 0.582 0.425
0.582 0.425 0.224
0.918 0.276 0.075
0.082 0.724 0.925
0.418 0.575 0.776
0.428 0.072 0.250
0.776 0.418 0.575
0.072 0.250 0.428
0.425 0.224 0.582
0.750 0.572 0.928
0.925 0.082 0.724
0.276 0.075 0.918
```

Values from the calculation:
- calculated volume (A^3/atom) = 9.063
- space group = R-3c (167)
- total energy (eV/cell) = -121.89

Entry 2:
Material: SmEr5Pb6
Method: DFT, PBE-GGA
State: relaxed

POSCAR file:
```
SmEr5Pb6
1.0
8.623 0.329 0.000
2.826 5.418 0.000
1.413 2.709 7.649
Sm Er Pb
1 5 6
direct
0.000 0.000 0.000
0.500 0.162 0.676
0.000 0.331 0.339
0.500 0.500 0.000
0.000 0.669 0.661
0.500 0.838 0.324
0.744 0.089 0.338
0.256 0.573 0.338
0.245 0.265 0.000
0.755 0.735 0.000
0.744 0.427 0.662
0.256 0.911 0.662
```

Values from the calculation:
- calculated volume (A^3/atom) = 29.190
- space group = C2/m (12)
- energy of formation from the pure elements (eV/f.u.) = -4.96
- total energy (eV/cell) = -54.74

Entry 3:
Material: Pr2Dy2HoTm2
Method: DFT, PBE-GGA
State: relaxed

POSCAR file:
```
Pr2Dy2HoTm2
1.0
-1.789 -1.307 -2.729
-3.002 -1.701 5.046
-8.701 7.773 1.980
Pr Dy Ho Tm
2 2 1 2
direct
0.671 0.341 0.915
0.329 0.659 0.085
0.450 0.901 0.767
0.550 0.099 0.233
0.000 0.000 0.500
0.773 0.546 0.366
0.227 0.454 0.634
```

Values from the calculation:
- calculated volume (A^3/atom) = 32.835
- space group = C2/m (12)
- energy of formation from the pure elements (eV/f.u.) = 0.60
- total energy (eV/cell) = -31.68